(1)
{
  "formula": "Y6Ho2Tl",
  "functional": "PBE",
  "state": "relaxed",
  "lattice_angstrom": [[-2.780, -0.277, -2.331], [-3.225, -7.508, 4.737], [-2.864, 8.676, 2.385]],
  "species": ["Y", "Y", "Y", "Y", "Y", "Y", "Ho", "Ho", "Tl"],
  "frac_coords": [[0.500, 0.621, 0.000], [0.500, 0.000, 0.621], [0.000, 0.280, 0.000], [0.500, 0.379, 0.379], [0.000, 0.000, 0.280], [0.000, 0.720, 0.720], [0.000, 0.333, 0.667], [0.000, 0.667, 0.333], [0.500, 0.000, 0.000]]
}



(2)
{
  "formula": "Y6Ho2Tl",
  "functional": "PBE",
  "state": "relaxed",
  "lattice_angstrom": [[4.902, 0.000, 0.247], [0.000, 10.645, 0.000], [-0.536, 0.000, 10.631]],
  "species": ["Y", "Y", "Y", "Y", "Y", "Y", "Y", "Y", "Y", "Y", "Y", "Y", "Ho", "Ho", "Ho", "Ho", "Tl", "Tl"],
  "frac_coords": [[0.500, 0.502, 0.334], [0.500, 0.841, 0.341], [0.500, 0.834, 0.002], [0.500, 0.159, 0.659], [0.000, 0.998, 0.834], [0.000, 0.659, 0.841], [0.000, 0.341, 0.159], [0.500, 0.166, 0.998], [0.500, 0.498, 0.666], [0.000, 0.334, 0.498], [0.000, 0.002, 0.166], [0.000, 0.666, 0.502], [0.500, 0.165, 0.335], [0.500, 0.835, 0.665], [0.000, 0.335, 0.835], [0.000, 0.665, 0.165], [0.500, 0.500, 0.000], [0.000, 0.000, 0.500]]
}



Stability ranking, top and bottom: (1) is the most stable and (2) is the least stable.



(1)
{
  "formula": "YHo3Tl2",
  "functional": "PBE",
  "state": "relaxed",
  "lattice_angstrom": [[-2.473, 4.403, -0.436], [-0.956, 0.134, 6.771], [8.547, 4.911, 1.109]],
  "species": ["Tl", "Tl", "Tl", "Tl", "Ho", "Ho", "Ho", "Ho", "Ho", "Ho", "Y", "Y"],
  "frac_coords": [[0.000, 0.291, 0.632], [0.500, 0.708, 0.868], [0.000, 0.791, 0.368], [0.500, 0.208, 0.132], [0.000, 0.831, 0.689], [0.000, 0.953, 0.044], [0.000, 0.331, 0.311], [0.500, 0.669, 0.187], [0.500, 0.169, 0.813], [0.000, 0.453, 0.956], [0.500, 0.048, 0.456], [0.500, 0.548, 0.544]]
}



(2)
{
  "formula": "YHo3Tl2",
  "functional": "PBE",
  "state": "relaxed",
  "lattice_angstrom": [[-5.103, 0.269, -1.553], [1.023, -7.972, 4.445], [-0.831, 8.245, 4.157]],
  "species": ["Y", "Y", "Ho", "Ho", "Ho", "Ho", "Ho", "Ho", "Tl", "Tl", "Tl", "Tl"],
  "frac_coords": [[0.131, 0.261, 0.091], [0.869, 0.739, 0.909], [0.058, 0.116, 0.401], [0.693, 0.385, 0.394], [0.616, 0.232, 0.688], [0.384, 0.768, 0.312], [0.307, 0.615, 0.606], [0.942, 0.884, 0.599], [0.522, 0.044, 0.870], [0.478, 0.956, 0.130], [0.223, 0.447, 0.852], [0.777, 0.553, 0.148]]
}



Stability ranking, top and bottom: (1) is the most stable and (2) is the least stable.



(1)
{
  "formula": "YHoTlZn",
  "functional": "PBE",
  "state": "relaxed",
  "lattice_angstrom": [[-2.643, -2.420, -3.794], [2.516, -3.083, -3.375], [-0.680, -5.171, 0.183]],
  "species": ["Ho", "Y", "Zn", "Tl"],
  "frac_coords": [[0.250, 0.250, 0.250], [0.750, 0.750, 0.750], [0.000, 0.000, 0.000], [0.500, 0.500, 0.500]]
}



(2)
{
  "formula": "YHoTlZn",
  "functional": "PBE",
  "state": "relaxed",
  "lattice_angstrom": [[3.664, 0.000, 0.000], [0.000, 3.664, 0.000], [0.000, 0.000, 7.407]],
  "species": ["Ho", "Y", "Tl", "Zn"],
  "frac_coords": [[0.000, 0.000, 0.378], [0.000, 0.000, 0.837], [0.500, 0.500, 0.110], [0.500, 0.500, 0.604]]
}



Stability ranking, top and bottom: (2) is the most stable and (1) is the least stable.



(1)
{
  "formula": "Ho8TlZn2",
  "functional": "PBE",
  "state": "relaxed",
  "lattice_angstrom": [[4.901, 0.000, -1.583], [-1.238, 7.206, -3.833], [0.015, 0.061, 8.428]],
  "species": ["Ho", "Ho", "Ho", "Ho", "Ho", "Ho", "Ho", "Ho", "Zn", "Zn", "Tl"],
  "frac_coords": [[0.066, 0.723, 0.132], [0.604, 0.465, 0.208], [0.686, 0.964, 0.371], [0.314, 0.036, 0.629], [0.150, 0.209, 0.299], [0.934, 0.277, 0.868], [0.396, 0.535, 0.792], [0.850, 0.791, 0.701], [0.781, 0.383, 0.562], [0.219, 0.617, 0.438], [0.500, 0.000, 0.000]]
}



(2)
{
  "formula": "Ho8TlZn2",
  "functional": "PBE",
  "state": "relaxed",
  "lattice_angstrom": [[0.173, 4.249, -3.320], [0.092, -6.071, -5.499], [-7.210, 1.368, 3.640]],
  "species": ["Ho", "Ho", "Ho", "Ho", "Ho", "Ho", "Ho", "Ho", "Tl", "Zn", "Zn"],
  "frac_coords": [[0.101, 0.331, 0.086], [0.899, 0.914, 0.669], [0.697, 0.395, 0.395], [0.899, 0.669, 0.914], [0.500, 0.768, 0.232], [0.500, 0.232, 0.768], [0.101, 0.086, 0.331], [0.303, 0.605, 0.605], [0.500, 0.000, 0.000], [0.000, 0.693, 0.307], [0.000, 0.307, 0.693]]
}



Stability ranking, top and bottom: (1) is the most stable and (2) is the least stable.



(1)
{
  "formula": "Ho4TlZn3",
  "functional": "PBE",
  "state": "relaxed",
  "lattice_angstrom": [[-2.559, 0.593, 2.635], [1.075, -3.992, 1.943], [7.852, 5.252, 6.444]],
  "species": ["Zn", "Zn", "Zn", "Ho", "Ho", "Ho", "Ho", "Tl"],
  "frac_coords": [[0.000, 0.500, 0.571], [0.500, 0.000, 0.918], [0.000, 0.000, 0.431], [0.500, 0.000, 0.648], [0.500, 0.500, 0.359], [0.000, 0.500, 0.837], [0.000, 0.000, 0.164], [0.500, 0.500, 0.073]]
}



(2)
{
  "formula": "Ho4TlZn3",
  "functional": "PBE",
  "state": "relaxed",
  "lattice_angstrom": [[4.887, 0.000, 1.443], [2.231, 4.349, 1.443], [0.027, 0.016, 8.909]],
  "species": ["Ho", "Ho", "Ho", "Ho", "Zn", "Zn", "Zn", "Tl"],
  "frac_coords": [[0.871, 0.871, 0.388], [0.620, 0.620, 0.139], [0.380, 0.380, 0.861], [0.129, 0.129, 0.612], [0.752, 0.752, 0.743], [0.248, 0.248, 0.257], [0.500, 0.500, 0.500], [0.000, 0.000, 0.000]]
}



Stability ranking, top and bottom: (2) is the most stable and (1) is the least stable.



(1)
{
  "formula": "Ho4TlZn2",
  "functional": "PBE",
  "state": "relaxed",
  "lattice_angstrom": [[-2.674, -4.098, -0.460], [0.079, -2.525, -4.216], [6.288, -7.227, 1.583]],
  "species": ["Zn", "Zn", "Ho", "Ho", "Ho", "Ho", "Tl"],
  "frac_coords": [[0.098, 0.098, 0.705], [0.902, 0.902, 0.295], [0.799, 0.799, 0.604], [0.201, 0.201, 0.396], [0.383, 0.383, 0.851], [0.617, 0.617, 0.149], [0.000, 0.000, 0.000]]
}



(2)
{
  "formula": "Ho4TlZn2",
  "functional": "PBE",
  "state": "relaxed",
  "lattice_angstrom": [[4.833, 0.000, 1.510], [2.181, 4.313, 1.510], [-0.057, -0.035, 8.670]],
  "species": ["Ho", "Ho", "Ho", "Ho", "Zn", "Zn", "Tl"],
  "frac_coords": [[0.614, 0.614, 0.159], [0.132, 0.132, 0.603], [0.386, 0.386, 0.841], [0.868, 0.868, 0.397], [0.748, 0.748, 0.757], [0.252, 0.252, 0.243], [0.000, 0.000, 0.000]]
}



Stability ranking, top and bottom: (2) is the most stable and (1) is the least stable.



(1)
{
  "formula": "Ho6Tl5Zn",
  "functional": "PBE",
  "state": "relaxed",
  "lattice_angstrom": [[-9.445, -1.746, 0.963], [-1.947, -0.916, -6.062], [0.089, -5.938, -2.545]],
  "species": ["Zn", "Ho", "Ho", "Ho", "Ho", "Ho", "Ho", "Tl", "Tl", "Tl", "Tl", "Tl"],
  "frac_coords": [[0.000, 0.000, 0.000], [0.758, 0.403, 0.676], [0.248, 0.240, 0.000], [0.242, 0.921, 0.676], [0.758, 0.079, 0.324], [0.752, 0.760, 0.000], [0.242, 0.597, 0.324], [0.500, 0.500, 0.000], [0.500, 0.827, 0.347], [0.000, 0.338, 0.325], [0.500, 0.173, 0.653], [0.000, 0.662, 0.675]]
}



(2)
{
  "formula": "Ho6Tl5Zn",
  "functional": "PBE",
  "state": "relaxed",
  "lattice_angstrom": [[-2.641, -0.560, -4.581], [-1.148, -7.176, 1.539], [-8.132, 1.603, 1.406]],
  "species": ["Ho", "Ho", "Ho", "Ho", "Ho", "Ho", "Tl", "Tl", "Tl", "Tl", "Tl", "Zn"],
  "frac_coords": [[0.163, 0.245, 0.675], [0.500, 0.757, 0.000], [0.163, 0.755, 0.675], [0.837, 0.755, 0.325], [0.837, 0.245, 0.325], [0.500, 0.243, 0.000], [0.665, 0.000, 0.669], [0.000, 0.500, 0.000], [0.335, 0.000, 0.331], [0.669, 0.500, 0.663], [0.331, 0.500, 0.337], [0.000, 0.000, 0.000]]
}



Stability ranking, top and bottom: (2) is the most stable and (1) is the least stable.



(1)
{
  "formula": "Ho4Tm",
  "functional": "PBE",
  "state": "relaxed",
  "lattice_angstrom": [[5.604, 0.000, 0.000], [0.000, 5.604, 0.000], [0.000, 0.000, 5.604]],
  "species": ["Ho", "Ho", "Ho", "Ho", "Tm"],
  "frac_coords": [[0.000, 0.500, 0.500], [0.000, 0.000, 0.000], [0.500, 0.500, 0.000], [0.500, 0.000, 0.500], [0.500, 0.500, 0.500]]
}



(2)
{
  "formula": "Ho4Tm",
  "functional": "PBE",
  "state": "relaxed",
  "lattice_angstrom": [[-0.226, -1.217, -4.268], [2.679, -3.444, 0.842], [-7.809, -2.377, 3.403]],
  "species": ["Ho", "Ho", "Ho", "Ho", "Tm"],
  "frac_coords": [[0.750, 0.750, 0.000], [0.250, 0.250, 0.000], [0.906, 0.406, 0.313], [0.094, 0.594, 0.687], [0.500, 0.000, 0.500]]
}



Stability ranking, top and bottom: (2) is the most stable and (1) is the least stable.